(1)
Entry from Alexandria: MnCo2Ni after structural relaxation (PBE).

uncorrected energy: -28.875 eV per cell
DFT formation energy: 0.0720 eV per atom
DOS at the Fermi energy: 5.7 states/eV/cell
total magnetization: 0.4 μB per cell
space group: Pmmm

abc: 2.473 3.522 4.956
angles: 90.00 90.00 90.00
Sites, in units of the cell vectors:
Mn 0.000 0.000 0.000
Co 0.500 0.500 0.250
Co 0.500 0.500 0.750
Ni 0.000 0.000 0.500

(2)
Entry from Alexandria: MnCo2Ni after structural relaxation (PBE).

uncorrected energy: -28.886 eV per cell
DFT formation energy: 0.0691 eV per atom
DOS at the Fermi energy: 6.0 states/eV/cell
total magnetization: 5.1 μB per cell
space group: P4mm

abc: 2.489 2.489 7.087
angles: 90.00 90.00 90.00
Sites, in units of the cell vectors:
Mn 0.000 0.000 0.000
Co 0.000 0.000 0.507
Co 0.500 0.500 0.748
Ni 0.500 0.500 0.254

(3)
Entry from Alexandria: MnCoNi14 after structural relaxation (PBE).

uncorrected energy: -97.290 eV per cell
DFT formation energy: -0.0048 eV per atom
DOS at the Fermi energy: 23.0 states/eV/cell
total magnetization: 14.6 μB per cell
space group: Amm2

abc: 8.163 5.000 5.000
angles: 59.94 90.00 90.00
Sites, in units of the cell vectors:
Mn 0.000 0.000 0.000
Co 0.000 0.500 0.500
Ni 0.000 0.000 0.499
Ni 0.000 0.499 0.000
Ni 0.248 0.665 0.665
Ni 0.250 0.167 0.664
Ni 0.250 0.664 0.167
Ni 0.251 0.166 0.166
Ni 0.500 0.333 0.333
Ni 0.500 0.333 0.833
Ni 0.500 0.832 0.832
Ni 0.500 0.833 0.333
Ni 0.749 0.166 0.166
Ni 0.750 0.167 0.664
Ni 0.750 0.664 0.167
Ni 0.752 0.665 0.665

(4)
Entry from Alexandria: MnCo2Ni after structural relaxation (PBE).

uncorrected energy: -28.958 eV per cell
DFT formation energy: 0.0513 eV per atom
DOS at the Fermi energy: 7.4 states/eV/cell
total magnetization: 5.8 μB per cell
space group: I-4m2

abc: 4.330 4.330 4.330
angles: 131.48 131.48 71.04
Sites, in units of the cell vectors:
Mn 0.000 0.000 0.000
Co 0.500 0.500 0.000
Co 0.750 0.250 0.500
Ni 0.250 0.750 0.500

(5)
Entry from Alexandria: Mn2CoNi after structural relaxation (PBE).

uncorrected energy: -29.681 eV per cell
DFT formation energy: 0.3863 eV per atom
DOS at the Fermi energy: 15.1 states/eV/cell
total magnetization: 0.0 μB per cell
space group: Fm-3m

abc: 3.944 3.944 3.944
angles: 60.00 60.00 60.00
Sites, in units of the cell vectors:
Mn 0.250 0.250 0.250
Mn 0.750 0.750 0.750
Co 0.000 0.000 0.000
Ni 0.500 0.500 0.500

(6)
Entry from Alexandria: MnCo2Ni5 after structural relaxation (PBE).

uncorrected energy: -52.476 eV per cell
DFT formation energy: -0.0236 eV per atom
DOS at the Fermi energy: 7.9 states/eV/cell
total magnetization: 10.5 μB per cell
space group: Fmm2

abc: 5.992 5.038 4.803
angles: 74.98 54.30 50.73
Sites, in units of the cell vectors:
Mn 0.000 0.000 0.000
Co 0.088 0.575 0.425
Co 0.575 0.088 0.912
Ni 0.083 0.083 0.417
Ni 0.499 0.499 0.501
Ni 0.503 0.998 0.497
Ni 0.583 0.583 0.917
Ni 0.998 0.503 0.002

(7)
Entry from Alexandria: MnCo2Ni after structural relaxation (PBE).

uncorrected energy: -28.856 eV per cell
DFT formation energy: 0.0768 eV per atom
DOS at the Fermi energy: 5.8 states/eV/cell
total magnetization: 3.7 μB per cell
space group: R-3m

abc: 8.262 8.262 8.262
angles: 17.21 17.21 17.21
Sites, in units of the cell vectors:
Mn 0.000 0.000 0.000
Co 0.251 0.251 0.251
Co 0.749 0.749 0.749
Ni 0.500 0.500 0.500

(8)
Entry from Alexandria: Mn2CoNi after structural relaxation (PBE).

uncorrected energy: -30.991 eV per cell
DFT formation energy: 0.0590 eV per atom
DOS at the Fermi energy: 6.0 states/eV/cell
total magnetization: 1.5 μB per cell
space group: Cm

abc: 4.336 4.336 4.388
angles: 99.69 99.69 33.94
Sites, in units of the cell vectors:
Mn 0.000 0.000 0.000
Mn 0.249 0.249 0.751
Co 0.500 0.500 0.490
Ni 0.752 0.752 0.257

(9)
Entry from Alexandria: Mn2CoNi after structural relaxation (PBE).

uncorrected energy: -30.484 eV per cell
DFT formation energy: 0.1855 eV per atom
DOS at the Fermi energy: 7.9 states/eV/cell
total magnetization: 5.8 μB per cell
space group: F-43m

abc: 4.001 4.001 4.001
angles: 60.00 60.00 60.00
Sites, in units of the cell vectors:
Mn 0.000 0.000 0.000
Mn 0.250 0.250 0.250
Co 0.500 0.500 0.500
Ni 0.750 0.750 0.750

(10)
Entry from Alexandria: MnCo4Ni8 after structural relaxation (PBE).

uncorrected energy: -83.863 eV per cell
DFT formation energy: -0.0015 eV per atom
DOS at the Fermi energy: 16.2 states/eV/cell
total magnetization: 14.9 μB per cell
space group: P-1

abc: 3.526 4.328 10.330
angles: 86.12 89.95 66.01
Sites, in units of the cell vectors:
Mn 0.000 0.000 0.000
Co 0.155 0.690 0.537
Co 0.381 0.238 0.841
Co 0.619 0.762 0.159
Co 0.845 0.310 0.463
Ni 0.077 0.845 0.768
Ni 0.231 0.538 0.310
Ni 0.308 0.384 0.079
Ni 0.461 0.078 0.615
Ni 0.539 0.922 0.385
Ni 0.692 0.616 0.921
Ni 0.769 0.462 0.690
Ni 0.923 0.155 0.232

(11)
Entry from Alexandria: Mn2CoNi after structural relaxation (PBE).

uncorrected energy: -31.076 eV per cell
DFT formation energy: 0.0375 eV per atom
DOS at the Fermi energy: 5.0 states/eV/cell
total magnetization: 0.2 μB per cell
space group: Pmm2

abc: 2.446 3.959 4.359
angles: 90.00 90.00 90.00
Sites, in units of the cell vectors:
Mn 0.000 0.000 0.000
Mn 0.000 0.500 0.315
Co 0.500 0.000 0.495
Ni 0.500 0.500 0.814

(12)
Entry from Alexandria: MnCo5Ni8 after structural relaxation (PBE).

uncorrected energy: -87.315 eV per cell
DFT formation energy: 0.2596 eV per atom
DOS at the Fermi energy: 16.5 states/eV/cell
total magnetization: 17.4 μB per cell
space group: I-4

abc: 6.011 6.011 6.011
angles: 107.30 107.30 113.91
Sites, in units of the cell vectors:
Mn 0.000 0.000 0.000
Co 0.230 0.490 0.932
Co 0.250 0.750 0.500
Co 0.510 0.442 0.740
Co 0.558 0.297 0.068
Co 0.703 0.770 0.260
Ni 0.111 0.043 0.652
Ni 0.391 0.458 0.348
Ni 0.433 0.027 0.288
Ni 0.542 0.889 0.932
Ni 0.739 0.145 0.712
Ni 0.855 0.567 0.593
Ni 0.957 0.609 0.068
Ni 0.973 0.261 0.407